No. 1
# DyPuRh2 (PBE, optimized geometry)
data_DyPuRh2
_cell_length_a 4.819
_cell_length_b 4.819
_cell_length_c 3.465
_cell_angle_alpha 90.00
_cell_angle_beta 90.00
_cell_angle_gamma 90.00
_space_group_name_H-M_alt 'P 4/m m m'
_space_group_IT_number 123
_space_group_name_Hall '-P 4 2'
loop_
_atom_site_label
_atom_site_type_symbol
_atom_site_fract_x
_atom_site_fract_y
_atom_site_fract_z
Dy1 Dy 0.000 0.000 0.000
Pu1 Pu 0.500 0.500 0.000
Rh1 Rh 0.000 0.500 0.500
# DFT formation energy   -0.628 eV per atom
# Total DFT energy (no corrections)   -9.037 eV per atom

No. 2
# Rb2BeP2Au (PBE, optimized geometry)
data_Rb2BeP2Au
_cell_length_a 5.879
_cell_length_b 21.419
_cell_length_c 5.720
_cell_angle_alpha 90.00
_cell_angle_beta 90.00
_cell_angle_gamma 90.00
_space_group_name_H-M_alt 'I b a m'
_space_group_IT_number 72
_space_group_name_Hall '-I 2 2c'
loop_
_atom_site_label
_atom_site_type_symbol
_atom_site_fract_x
_atom_site_fract_y
_atom_site_fract_z
Rb1 Rb 0.232 0.140 0.000
Be1 Be 0.000 0.500 0.250
P1 P 0.206 0.439 0.000
Au1 Au 0.000 0.000 0.250
# DFT formation energy   -0.186 eV per atom
# Total DFT energy (no corrections)   -3.479 eV per atom

No. 3
# LaHg2Pd2 (PBE, optimized geometry)
data_LaHg2Pd2
_cell_length_a 7.572
_cell_length_b 7.572
_cell_length_c 3.822
_cell_angle_alpha 90.00
_cell_angle_beta 90.00
_cell_angle_gamma 90.00
_space_group_name_H-M_alt 'P 4/m b m'
_space_group_IT_number 127
_space_group_name_Hall '-P 4 2ab'
loop_
_atom_site_label
_atom_site_type_symbol
_atom_site_fract_x
_atom_site_fract_y
_atom_site_fract_z
La1 La 0.000 0.000 0.000
Hg1 Hg 0.159 0.341 0.500
Pd1 Pd 0.134 0.634 0.000
# DFT formation energy   -0.428 eV per atom
# Total DFT energy (no corrections)   -3.611 eV per atom
# Energy above the lowest structure with this stoichiometry   101 meV/atom

No. 4
# AgAuN2 (PBE, optimized geometry)
data_AgAuN2
_cell_length_a 2.885
_cell_length_b 2.886
_cell_length_c 11.639
_cell_angle_alpha 95.36
_cell_angle_beta 96.09
_cell_angle_gamma 97.51
_space_group_name_H-M_alt 'P 1'
_space_group_IT_number 1
_space_group_name_Hall 'P 1'
loop_
_atom_site_label
_atom_site_type_symbol
_atom_site_fract_x
_atom_site_fract_y
_atom_site_fract_z
Ag1 Ag 0.000 0.000 0.000
Au1 Au 0.590 0.582 0.186
N1 N 0.808 0.803 0.546
N2 N 0.853 0.844 0.643
# Energy relative to the elements, uncorrected   0.272 eV per atom
# Total DFT energy (no corrections)   -5.422 eV per atom
# Energy above the lowest structure with this stoichiometry   0 meV/atom